Compound: KZn2Ni
Source: Alexandria
Functional: PBE
Structure: optimized geometry

```
KZn2Ni
1.0
-1.6959 5.6999 -0.8292
-3.8090 2.6165 3.8338
5.2562 -2.5291 -1.4243
K Ni Zn
1 1 2
Cartesian
-2.8425 4.2942 1.5515 K
0.1859 3.9939 -0.2566 Ni
-5.3679 8.1093 2.9298 Zn
-0.4817 1.8645 1.8626 Zn
```

Summary:
* total DFT energy (no corrections): -1.98 eV per atom
* energy relative to the elements: 1.5 eV/f.u.
* polymorph energy (0 for the lowest one): 377 meV/atom